This record from Alexandria via LeMat-Bulk describes Tb3Al5H12 after structural relaxation. The functional is GGA-PBE.

Output
For the calculated volume, the calculation gives 212.3 Å³/f.u. The total magnetization is 0.0 μB/f.u. The total energy comes out at -3.6268 eV/atom.

Structure (POSCAR):
```
Tb3Al5H12
1.0
-3.178 -2.859 9.407
10.033 -2.227 -1.070
-1.415 10.168 -1.171
H Al Tb
48 20 12
direct
0.418 0.293 0.333
0.667 0.207 0.582
0.833 0.915 0.040
0.918 0.085 0.625
0.915 0.833 0.540
0.707 0.125 0.040
0.582 0.707 0.667
0.540 0.207 0.125
0.415 0.375 0.582
0.207 0.667 0.082
0.418 0.125 0.585
0.082 0.915 0.375
0.667 0.460 0.585
0.415 0.040 0.333
0.375 0.415 0.082
0.125 0.707 0.540
0.460 0.793 0.875
0.875 0.582 0.915
0.333 0.540 0.415
0.793 0.460 0.375
0.040 0.625 0.707
0.585 0.960 0.667
0.582 0.875 0.415
0.460 0.667 0.085
0.293 0.875 0.960
0.375 0.960 0.793
0.040 0.415 0.833
0.585 0.625 0.418
0.833 0.918 0.293
0.960 0.585 0.167
0.540 0.333 0.915
0.085 0.918 0.125
0.915 0.082 0.875
0.960 0.375 0.293
0.293 0.418 0.833
0.207 0.540 0.625
0.085 0.167 0.460
0.167 0.082 0.707
0.333 0.793 0.418
0.918 0.833 0.793
0.707 0.582 0.167
0.625 0.585 0.918
0.875 0.293 0.460
0.082 0.167 0.207
0.625 0.040 0.207
0.167 0.085 0.960
0.793 0.333 0.918
0.125 0.418 0.085
0.750 0.625 0.375
0.000 0.500 0.000
0.250 0.875 0.125
0.000 0.500 0.500
0.750 0.125 0.875
0.375 0.125 0.750
0.125 0.375 0.250
0.375 0.250 0.125
0.250 0.375 0.625
0.000 0.000 0.500
0.500 0.000 0.000
0.875 0.625 0.750
0.875 0.250 0.625
0.500 0.500 0.500
0.625 0.875 0.250
0.500 0.000 0.500
0.500 0.500 0.000
0.000 0.000 0.000
0.125 0.750 0.375
0.625 0.750 0.875
0.375 0.625 0.250
0.125 0.250 0.875
0.625 0.250 0.375
0.625 0.375 0.750
0.125 0.875 0.750
0.250 0.125 0.375
0.375 0.750 0.625
0.750 0.375 0.125
0.750 0.875 0.625
0.250 0.625 0.875
0.875 0.125 0.250
0.875 0.750 0.125
```

=====

This record from Alexandria via LeMat-Bulk describes Tb4Al2H after structural relaxation. The functional is GGA-PBE.

Output
For the calculated volume, the calculation gives 169.6 Å³/f.u. The total magnetization is 0.0 μB/f.u. The total energy comes out at -4.4613 eV/atom.

Structure (POSCAR):
```
Tb4Al2H
1.0
-0.196 4.544 0.256
-4.014 -0.293 2.134
5.952 -2.366 6.010
Tb Al H
4 2 1
direct
0.500 0.000 0.000
0.822 0.822 0.643
0.178 0.178 0.357
0.000 0.500 0.000
0.367 0.367 0.734
0.633 0.633 0.266
0.000 0.000 0.000
```

=====

This record from Alexandria via LeMat-Bulk describes TbAlH6 after structural relaxation. The functional is GGA-PBE.

Output
For the calculated volume, the calculation gives 66.9 Å³/f.u. The total magnetization is 0.0 μB/f.u. The total energy comes out at -3.8577 eV/atom.

Structure (POSCAR):
```
TbAlH6
1.0
-0.673 -0.588 -4.009
1.702 -3.721 -0.354
-3.268 -0.571 4.224
H Tb Al
6 1 1
direct
0.367 0.306 0.306
0.633 0.694 0.694
0.634 0.306 0.940
0.366 0.694 0.060
0.000 0.939 0.306
0.000 0.061 0.694
0.000 0.500 0.500
0.000 0.000 0.000
```

=====

This record from Alexandria via LeMat-Bulk describes Al2TcH6 after structural relaxation. The functional is GGA-PBE.

Output
For the calculated volume, the calculation gives 63.8 Å³/f.u. The total magnetization is 0.0 μB/f.u. The total energy comes out at -4.2431 eV/atom.

Structure (POSCAR):
```
Al2TcH6
1.0
-4.012 -0.094 2.004
-0.799 -2.950 3.283
-0.426 1.418 4.235
Al H Tc
2 6 1
direct
0.750 0.750 0.750
0.250 0.250 0.250
0.275 0.275 0.725
0.725 0.725 0.275
0.275 0.725 0.725
0.275 0.725 0.275
0.725 0.275 0.725
0.725 0.275 0.275
0.000 0.000 0.000
```

=====

This record from Alexandria via LeMat-Bulk describes AlTcH4 after structural relaxation. The functional is GGA-PBE.

Output
For the calculated volume, the calculation gives 63.9 Å³/f.u. The total magnetization is 0.0 μB/f.u. The total energy comes out at -4.5573 eV/atom.

Structure (POSCAR):
```
AlTcH4
1.0
-2.020 3.923 3.706
-2.646 -0.191 5.115
4.806 0.158 2.597
Tc Al H
2 2 8
direct
0.528 0.555 0.751
0.445 0.472 0.249
0.975 0.025 0.500
0.992 0.008 0.000
0.507 0.274 0.984
0.166 0.472 0.201
0.453 0.762 0.485
0.873 0.430 0.638
0.726 0.493 0.016
0.528 0.834 0.799
0.238 0.547 0.515
0.570 0.127 0.362
```

=====

This record from Alexandria via LeMat-Bulk describes AlTcH after structural relaxation. The functional is GGA-PBE.

Output
The calculation puts the energy relative to the lowest polymorph listed for this composition at 159.0 meV/atom. For the calculated volume, the calculation gives 33.1 Å³/f.u. The total magnetization is 0.0 μB/f.u. The total energy comes out at -5.8368 eV/atom.

Structure (POSCAR):
```
AlTcH
1.0
-0.747 -0.992 2.750
-1.691 -3.629 -1.768
4.841 -1.749 -1.039
Tc Al H
2 2 2
direct
0.053 0.250 0.132
0.947 0.750 0.868
0.330 0.250 0.671
0.670 0.750 0.329
0.338 0.750 0.666
0.662 0.250 0.334
```